Entry A
5
Lattice="4.904 0.000 0.000 0.000 4.904 0.000 0.000 0.000 4.904" Properties=species:S:1:pos:R:3 comment="PBE-GGA HfCuS3, optimized geometry" sg="No. 221" pbc="T T T"
Hf 0.000 0.000 0.000
Cu 2.452 2.452 2.452
S 0.000 0.000 2.452
S 0.000 2.452 0.000
S 2.452 0.000 0.000

=====

Entry B
5
Lattice="4.432 0.000 0.000 0.000 4.432 0.000 0.000 0.000 4.432" Properties=species:S:1:pos:R:3 comment="PBE-GGA HfCuS3, optimized geometry" sg="No. 221" pbc="T T T"
Hf 0.000 0.000 0.000
Cu 2.216 2.216 2.216
S 0.000 2.216 2.216
S 2.216 0.000 2.216
S 2.216 2.216 0.000

=====

What is the stability order? It is entry A, entry B, from most stable to least stable.

=====

Entry A
10
Lattice="7.636 0.000 0.000 0.000 7.636 0.000 0.000 0.000 3.331" Properties=species:S:1:pos:R:3 comment="PBE-GGA Hf2Cu2Sb, optimized geometry" sg="No. 127" pbc="T T T"
Hf 1.234 2.584 0.000
Hf 2.584 6.403 0.000
Hf 5.052 1.234 0.000
Hf 6.403 5.052 0.000
Cu 0.963 4.781 1.666
Cu 2.855 0.963 1.666
Cu 4.781 6.673 1.666
Cu 6.673 2.855 1.666
Sb 0.000 0.000 0.000
Sb 3.818 3.818 0.000

=====

Entry B
10
Lattice="6.647 0.000 0.000 0.000 6.647 0.000 0.000 0.000 4.058" Properties=species:S:1:pos:R:3 comment="PBE-GGA Hf2Cu2Sb, optimized geometry" sg="No. 127" pbc="T T T"
Hf 1.090 2.234 0.000
Hf 2.234 5.558 0.000
Hf 4.413 1.090 0.000
Hf 5.558 4.413 0.000
Cu 0.841 4.164 2.029
Cu 2.483 0.841 2.029
Cu 4.164 5.807 2.029
Cu 5.807 2.483 2.029
Sb 0.000 0.000 2.029
Sb 3.324 3.324 2.029

=====

What is the stability order? It is entry B, entry A, from most stable to least stable.

=====

Entry A
5
Lattice="4.852 0.000 0.000 0.000 4.852 0.000 0.000 0.000 4.852" Properties=species:S:1:pos:R:3 comment="PBE-GGA Hf3CuSb, optimized geometry" sg="No. 221" pbc="T T T"
Hf 0.000 0.000 2.426
Hf 0.000 2.426 0.000
Hf 2.426 0.000 0.000
Cu 0.000 0.000 0.000
Sb 2.426 2.426 2.426

=====

Entry B
10
Lattice="7.292 -1.834 0.000 7.292 1.834 0.000 -0.036 0.000 7.678" Properties=species:S:1:pos:R:3 comment="PBE-GGA Hf3CuSb, optimized geometry" sg="No. 12" pbc="T T T"
Hf 0.591 0.000 1.757
Hf 3.623 0.000 6.215
Hf 5.829 0.000 3.436
Hf 8.720 0.000 4.242
Hf 10.926 0.000 1.463
Hf 13.958 0.000 5.921
Cu 3.036 0.000 3.283
Cu 11.513 0.000 4.395
Sb 5.773 0.000 0.501
Sb 8.775 0.000 7.177

=====

What is the stability order? It is entry B, entry A, from most stable to least stable.

=====

Entry A
12
Lattice="6.399 0.000 0.000 0.000 3.196 0.000 0.000 0.000 11.227" Properties=species:S:1:pos:R:3 comment="PBE-GGA HfScCu, optimized geometry" sg="No. 62" pbc="T T T"
Hf 0.767 0.799 1.055
Hf 2.432 2.397 6.668
Hf 3.967 0.799 4.559
Hf 5.632 2.397 10.172
Sc 0.821 0.799 4.484
Sc 2.379 2.397 10.097
Sc 4.021 0.799 1.130
Sc 5.578 2.397 6.744
Cu 0.811 0.799 8.427
Cu 2.388 2.397 2.813
Cu 4.011 0.799 8.414
Cu 5.588 2.397 2.800

=====

Entry B
12
Lattice="4.536 0.000 0.000 0.000 11.104 0.000 0.000 0.000 4.544" Properties=species:S:1:pos:R:3 comment="PBE-GGA HfScCu, optimized geometry" sg="No. 65" pbc="T T T"
Hf 0.000 1.716 0.000
Hf 0.000 9.388 0.000
Hf 2.268 3.836 0.000
Hf 2.268 7.268 0.000
Sc 0.000 3.858 2.272
Sc 0.000 7.246 2.272
Sc 2.268 1.694 2.272
Sc 2.268 9.410 2.272
Cu 0.000 0.000 2.272
Cu 0.000 5.552 0.000
Cu 2.268 0.000 0.000
Cu 2.268 5.552 2.272

=====

What is the stability order? It is entry A, entry B, from most stable to least stable.